Entry from Alexandria: a PBEsol-optimized structure of Ba2Ga7Ag (SCAN).

It has space group P-4m2 (No. 115), with a = 4.499 Å, b = 4.499 Å, c = 10.807 Å, α = 90.00°, β = 90.00° and γ = 90.00°. The distinct sites, in fractional coordinates, are Ba at (0.000, 0.500, 0.246), Ga at (0.000, 0.000, 0.000), Ga at (0.000, 0.500, 0.629), Ga at (0.000, 0.500, 0.871), Ga at (0.500, 0.500, 0.000), Ga at (0.500, 0.500, 0.500) and Ag at (0.000, 0.000, 0.500).

As for the formation energy: -0.4679 eV/atom. For the calculated density, the calculation gives 6.61 g/cm³. The total moment is 0.00 μB per atom. The total energy is -22.957 eV/atom.